Entry 1:
PdI6O2: optimized geometry, PBE.

Structure (CIF):
```
data_PdI6O2
_chemical_formula_sum 'Pd1 I6 O2'
_space_group_name_H-M_alt 'P -1'
_space_group_IT_number 2
_space_group_name_Hall '-P 1'
_cell_length_a 5.8340
_cell_length_b 6.9226
_cell_length_c 8.4464
_cell_angle_alpha 113.22
_cell_angle_beta 97.06
_cell_angle_gamma 101.68
loop_
_atom_site_label
_atom_site_fract_x
_atom_site_fract_y
_atom_site_fract_z
Pd1 0.0000 0.0000 0.0000
I1 0.0613 0.5979 0.2571
I2 0.2414 0.1120 0.7903
I3 0.3544 0.3052 0.2590
O1 0.3570 0.2688 0.4653
```

Total energy, eV per cell: -23.8



Entry 2:
Zn2SnGeAs4: optimized geometry, PBE.

Structure (CIF):
```
data_Zn2SnGeAs4
_chemical_formula_sum 'Zn4 Sn2 Ge2 As8'
_space_group_name_H-M_alt 'I -4'
_space_group_IT_number 82
_space_group_name_Hall 'I -4'
_cell_length_a 5.8541
_cell_length_b 5.8541
_cell_length_c 11.6213
_cell_angle_alpha 90.00
_cell_angle_beta 90.00
_cell_angle_gamma 90.00
loop_
_atom_site_label
_atom_site_fract_x
_atom_site_fract_y
_atom_site_fract_z
Zn1 0.0000 0.0000 0.0000
Zn2 0.0000 0.5000 0.2500
Sn1 0.0000 0.5000 0.7500
Ge1 0.0000 0.0000 0.5000
As1 0.2362 0.7387 0.3801
```

Total energy, eV per cell: -62.4



Entry 3:
NiB4Au: optimized geometry, PBE.

Structure (CIF):
```
data_NiB4Au
_chemical_formula_sum 'Ni2 B8 Au2'
_space_group_name_H-M_alt 'I m m m'
_space_group_IT_number 71
_space_group_name_Hall '-I 2 2'
_cell_length_a 2.9822
_cell_length_b 5.1448
_cell_length_c 7.4809
_cell_angle_alpha 90.00
_cell_angle_beta 90.00
_cell_angle_gamma 90.00
loop_
_atom_site_label
_atom_site_fract_x
_atom_site_fract_y
_atom_site_fract_z
Ni1 0.0000 0.0000 0.0000
B1 0.0000 0.3329 0.2709
Au1 0.0000 0.0000 0.5000
```

E above lowest polymorph, eV/f.u.: 0.73
Total energy, eV per cell: -64.7



Entry 4:
CdH6C8Br2N4Cl2: optimized geometry, PBE.

Structure (CIF):
```
data_CdH6C8Br2N4Cl2
_chemical_formula_sum 'Cd2 H12 C16 Br4 N8 Cl4'
_space_group_name_H-M_alt 'P 1 21/c 1'
_space_group_IT_number 14
_space_group_name_Hall '-P 2ybc'
_cell_length_a 3.8150
_cell_length_b 16.5611
_cell_length_c 10.2054
_cell_angle_alpha 90.00
_cell_angle_beta 91.39
_cell_angle_gamma 90.00
loop_
_atom_site_label
_atom_site_fract_x
_atom_site_fract_y
_atom_site_fract_z
Cd1 0.0000 0.0000 0.0000
H1 0.1975 0.1913 0.9483
H2 0.2212 0.5188 0.8075
H3 0.2484 0.2102 0.2582
C1 0.0969 0.6359 0.8944
C2 0.1178 0.1750 0.8484
C3 0.1177 0.5796 0.7929
C4 0.1409 0.2292 0.7445
Br1 0.2608 0.6073 0.0659
N1 0.0081 0.6001 0.6718
N2 0.0342 0.2093 0.6224
Cl1 0.4938 0.5795 0.3739
```

Total energy, eV per cell: -274.0